# LaGdZn6Si3

An optimized crystal structure of LaGdZn6Si3 (PBE, OQMD via LeMat-Bulk).

```
LaGdZn6Si3
1.0
7.544 0.000 0.000
-3.772 6.533 0.000
0.000 0.000 4.066
La Gd Zn Si
1 1 6 3
Cartesian
0.000 0.000 0.000
3.772 2.178 0.000
-2.229 4.379 2.033
-0.798 3.145 0.000
1.095 2.414 2.033
-0.649 5.652 0.000
1.447 4.270 0.000
1.135 6.275 2.033
2.386 0.305 2.033
2.843 4.315 2.033
6.087 1.914 2.033
```

Properties
Calculated total energy: -3.451 eV per atom
Mass density: 6.4 Mg/m³
Total magnetization: 0.0001 μB per atom
Space-group type: P-6, No. 174

---

# ErNb2CuSi2

An optimized crystal structure of ErNb2CuSi2 (PBE, OQMD via LeMat-Bulk).

```
ErNb2CuSi2
1.0
3.941 0.000 0.000
0.000 3.941 0.000
0.000 0.000 7.107
Er Nb Cu Si
1 2 1 2
Cartesian
0.000 0.000 0.000
0.000 1.970 4.469
1.970 0.000 4.469
1.970 1.970 2.080
0.000 0.000 2.702
1.970 1.970 6.374
```

Properties
Calculated total energy: -6.846 eV per atom
Mass density: 7.1 Mg/m³
Total magnetization: 0.0007 μB per atom
Space-group type: P4mm, No. 99

---

# Li6PbAu

An optimized crystal structure of Li6PbAu (PBE, OQMD via LeMat-Bulk).

```
Li6PbAu
1.0
4.560 0.000 0.000
0.000 4.560 0.000
0.000 0.000 6.173
Li Pb Au
6 1 1
Cartesian
0.000 0.000 0.000
0.000 2.280 1.475
0.000 2.280 4.698
2.280 0.000 1.475
2.280 0.000 4.698
2.280 2.280 3.087
0.000 0.000 3.087
2.280 2.280 0.000
```

Properties
Calculated total energy: -2.649 eV per atom
Mass density: 5.8 Mg/m³
Space-group type: P4/mmm, No. 123